This record from Alexandria via LeMat-Bulk describes a geometry-optimized AlTlAg2 structure. The functional is PBE. Values from VASP.

Energy relative to the lowest polymorph listed for this composition, kJ/mol of atoms: 8.67
ρ, g cm⁻³: 9.1
M_tot, μB per formula unit: 0.0
Formation energy, eV/atom: 0.150

```
&SYSTEM
  ibrav = 0, nat = 4, ntyp = 3
/
ATOMIC_SPECIES
Al 26.98 Al.upf
Tl 204.38 Tl.upf
Ag 107.87 Ag.upf
CELL_PARAMETERS angstrom
-1.5615 2.6763 4.8856
1.5615 -2.6763 4.8856
1.5615 2.6763 -4.8856
ATOMIC_POSITIONS angstrom
Al 0.0000 0.0000 0.0000
Tl 0.0000 0.0000 4.8856
Ag 1.5615 0.0000 2.1905
Ag 0.0000 2.6763 2.6951
```

***

This record from Alexandria via LeMat-Bulk describes a geometry-optimized AlTl2Ag structure. The functional is PBE. Values from VASP.

Energy relative to the lowest polymorph listed for this composition, kJ/mol of atoms: 0.00
ρ, g cm⁻³: 9.2
M_tot, μB per formula unit: 0.0
Formation energy, eV/atom: 0.104

```
&SYSTEM
  ibrav = 0, nat = 4, ntyp = 3
/
ATOMIC_SPECIES
Al 26.98 Al.upf
Tl 204.38 Tl.upf
Ag 107.87 Ag.upf
CELL_PARAMETERS angstrom
3.2662 0.0000 0.0000
0.0000 3.2662 0.0000
0.0000 0.0000 9.1706
ATOMIC_POSITIONS angstrom
Al 0.0000 0.0000 0.0000
Tl 0.0000 0.0000 5.3819
Tl 1.6331 1.6331 2.3466
Ag 1.6331 1.6331 7.7270
```

***

This record from Alexandria via LeMat-Bulk describes a geometry-optimized AlTl2Ag structure. The functional is PBE. Values from VASP.

Energy relative to the lowest polymorph listed for this composition, kJ/mol of atoms: 13.24
ρ, g cm⁻³: 9.5
M_tot, μB per formula unit: 0.0
Formation energy, eV/atom: 0.241

```
&SYSTEM
  ibrav = 0, nat = 4, ntyp = 3
/
ATOMIC_SPECIES
Al 26.98 Al.upf
Tl 204.38 Tl.upf
Ag 107.87 Ag.upf
CELL_PARAMETERS angstrom
3.2828 0.0000 0.0000
0.0000 4.4571 0.0000
-0.4235 0.0000 6.5191
ATOMIC_POSITIONS angstrom
Al 0.0000 0.0000 0.0000
Tl 1.2889 2.2285 4.8851
Tl 1.5705 2.2285 1.6341
Ag -0.2117 0.0000 3.2596
```